Record 1
# GGA-PBE Pm2Cd3Pt2, optimized geometry
# total magnetic moment: 0.0 μB/cell
# formation enthalpy at 0 K: -0.694 eV/atom
# N(E_F): 2.983 states/eV/f.u.
# E_tot: -58.4 eV per cell
data_Pm2Cd3Pt2
_space_group_name_H-M_alt 'C 1 2/m 1'
_space_group_IT_number 12
_space_group_name_Hall '-C 2y'
_cell_length_a 10.4406
_cell_length_b 4.0574
_cell_length_c 7.7521
_cell_angle_alpha 90.00
_cell_angle_beta 95.08
_cell_angle_gamma 90.00
loop_
_atom_site_label
_atom_site_fract_x
_atom_site_fract_y
_atom_site_fract_z
Pm1 0.1230 0.0000 0.3519
Cd1 0.0000 0.5000 0.0000
Cd2 0.1886 0.0000 0.8729
Pt1 0.0948 0.5000 0.6381



Record 2
# GGA-PBE PmCdPt6, optimized geometry
# total magnetic moment: 0.0 μB/cell
# formation enthalpy at 0 K: -0.202 eV/atom
# N(E_F): 14.633 states/eV/f.u.
# E_tot: -43.5 eV per cell
data_PmCdPt6
_space_group_name_H-M_alt 'P m -3'
_space_group_IT_number 200
_space_group_name_Hall '-P 2 2 3'
_cell_length_a 5.2697
_cell_length_b 5.2697
_cell_length_c 5.2697
_cell_angle_alpha 90.00
_cell_angle_beta 90.00
_cell_angle_gamma 90.00
loop_
_atom_site_label
_atom_site_fract_x
_atom_site_fract_y
_atom_site_fract_z
Pm1 0.0000 0.0000 0.0000
Cd1 0.5000 0.5000 0.5000
Pt1 0.0000 0.2527 0.5000



Record 3
# GGA-PBE Pm2CdPt, optimized geometry
# total magnetic moment: 0.0 μB/cell
# formation enthalpy at 0 K: -0.619 eV/atom
# N(E_F): 3.806 states/eV/f.u.
# energy above the most stable polymorph in this dataset: 92 meV per atom
# E_tot: -56.8 eV per cell
data_Pm2CdPt
_space_group_name_H-M_alt 'R 3 m'
_space_group_IT_number 160
_space_group_name_Hall 'R 3 -2"'
_cell_length_a 4.2217
_cell_length_b 4.2217
_cell_length_c 23.1126
_cell_angle_alpha 90.00
_cell_angle_beta 90.00
_cell_angle_gamma 120.00
loop_
_atom_site_label
_atom_site_fract_x
_atom_site_fract_y
_atom_site_fract_z
Pm1 0.0000 0.0000 0.0000
Pm2 0.0000 0.0000 0.1992
Cd1 0.0000 0.0000 0.4339
Pt1 0.0000 0.0000 0.5983



Record 4
# GGA-PBE Pm4Cd5Pt2, optimized geometry
# total magnetic moment: 0.0 μB/cell
# formation enthalpy at 0 K: -0.599 eV/atom
# N(E_F): 8.927 states/eV/f.u.
# E_tot: -42.3 eV per cell
data_Pm4Cd5Pt2
_space_group_name_H-M_alt 'P 1 2/m 1'
_space_group_IT_number 10
_space_group_name_Hall '-P 2y'
_cell_length_a 7.7806
_cell_length_b 3.7285
_cell_length_c 9.8596
_cell_angle_alpha 90.00
_cell_angle_beta 93.74
_cell_angle_gamma 90.00
loop_
_atom_site_label
_atom_site_fract_x
_atom_site_fract_y
_atom_site_fract_z
Pm1 0.1671 0.0000 0.3563
Pm2 0.2299 0.0000 0.9475
Cd1 0.1898 0.5000 0.6521
Cd2 0.4516 0.5000 0.1865
Cd3 0.5000 0.5000 0.5000
Pt1 0.0684 0.5000 0.1401



Record 5
# GGA-PBE Pm5CdPt3, optimized geometry
# total magnetic moment: 0.0 μB/cell
# formation enthalpy at 0 K: -0.721 eV/atom
# N(E_F): 7.985 states/eV/f.u.
# E_tot: -98.6 eV per cell
data_Pm5CdPt3
_space_group_name_H-M_alt 'P 63/m c m'
_space_group_IT_number 193
_space_group_name_Hall '-P 6c 2'
_cell_length_a 8.7304
_cell_length_b 8.7304
_cell_length_c 6.9854
_cell_angle_alpha 90.00
_cell_angle_beta 90.00
_cell_angle_gamma 120.00
loop_
_atom_site_label
_atom_site_fract_x
_atom_site_fract_y
_atom_site_fract_z
Pm1 0.0000 0.2974 0.2500
Pm2 0.3333 0.6667 0.0000
Cd1 0.0000 0.0000 0.0000
Pt1 0.0000 0.3756 0.7500



Record 6
# GGA-PBE Pm6Cd2Pt, optimized geometry
# total magnetic moment: 0.0 μB/cell
# formation enthalpy at 0 K: -0.182 eV/atom
# N(E_F): 15.259 states/eV/f.u.
# E_tot: -76.0 eV per cell
data_Pm6Cd2Pt
_space_group_name_H-M_alt 'C 1 2/m 1'
_space_group_IT_number 12
_space_group_name_Hall '-C 2y'
_cell_length_a 16.1113
_cell_length_b 7.2802
_cell_length_c 5.3095
_cell_angle_alpha 90.00
_cell_angle_beta 109.18
_cell_angle_gamma 90.00
loop_
_atom_site_label
_atom_site_fract_x
_atom_site_fract_y
_atom_site_fract_z
Pm1 0.0000 0.2320 0.0000
Pm2 0.1559 0.2451 0.6560
Cd1 0.1677 0.5000 0.1676
Pt1 0.0000 0.0000 0.5000



Record 7
# GGA-PBE Pm2Cd2Pt15, optimized geometry
# total magnetic moment: 0.0 μB/cell
# formation enthalpy at 0 K: -0.489 eV/atom
# N(E_F): 15.463 states/eV/f.u.
# E_tot: -333.7 eV per cell
data_Pm2Cd2Pt15
_space_group_name_H-M_alt 'R -3 m'
_space_group_IT_number 166
_space_group_name_Hall '-R 3 2"'
_cell_length_a 9.3624
_cell_length_b 9.3624
_cell_length_c 13.5532
_cell_angle_alpha 90.00
_cell_angle_beta 90.00
_cell_angle_gamma 120.00
loop_
_atom_site_label
_atom_site_fract_x
_atom_site_fract_y
_atom_site_fract_z
Pm1 0.0000 0.0000 0.1483
Cd1 0.0000 0.0000 0.3990
Pt1 0.0000 0.3167 0.5000
Pt2 0.0000 0.5000 0.0000
Pt3 0.0047 0.5024 0.6586



Record 8
# GGA-PBE Pm6CdPt3, optimized geometry
# total magnetic moment: 0.0 μB/cell
# formation enthalpy at 0 K: -0.730 eV/atom
# N(E_F): 10.391 states/eV/f.u.
# E_tot: -219.4 eV per cell
data_Pm6CdPt3
_space_group_name_H-M_alt 'C m c 21'
_space_group_IT_number 36
_space_group_name_Hall 'C 2c -2'
_cell_length_a 11.5566
_cell_length_b 13.3957
_cell_length_c 7.2484
_cell_angle_alpha 90.00
_cell_angle_beta 90.00
_cell_angle_gamma 90.00
loop_
_atom_site_label
_atom_site_fract_x
_atom_site_fract_y
_atom_site_fract_z
Pm1 0.0000 0.0663 0.0000
Pm2 0.0000 0.2106 0.4858
Pm3 0.1573 0.4667 0.5393
Pm4 0.2185 0.2804 0.1506
Cd1 0.0000 0.3251 0.8636
Pt1 0.0000 0.3866 0.2481
Pt2 0.1718 0.0836 0.3271



Record 9
# GGA-PBE PmSc2CdPt2, optimized geometry
# total magnetic moment: 0.0 μB/cell
# formation enthalpy at 0 K: -0.924 eV/atom
# N(E_F): 5.167 states/eV/f.u.
# E_tot: -36.0 eV per cell
data_PmSc2CdPt2
_space_group_name_H-M_alt 'P -3 m 1'
_space_group_IT_number 164
_space_group_name_Hall '-P 3 2"'
_cell_length_a 4.7532
_cell_length_b 4.7532
_cell_length_c 6.5532
_cell_angle_alpha 90.00
_cell_angle_beta 90.00
_cell_angle_gamma 120.00
loop_
_atom_site_label
_atom_site_fract_x
_atom_site_fract_y
_atom_site_fract_z
Pm1 0.0000 0.0000 0.0000
Sc1 0.3333 0.6667 0.6696
Cd1 0.0000 0.0000 0.5000
Pt1 0.3333 0.6667 0.2526



Record 10
# GGA-PBE PmCdSiPt, optimized geometry
# total magnetic moment: 0.0 μB/cell
# N(E_F): 2.589 states/eV/f.u.
# E_tot: -75.6 eV per cell
data_PmCdSiPt
_space_group_name_H-M_alt 'F -4 3 m'
_space_group_IT_number 216
_space_group_name_Hall 'F -4 2 3'
_cell_length_a 6.9012
_cell_length_b 6.9012
_cell_length_c 6.9012
_cell_angle_alpha 90.00
_cell_angle_beta 90.00
_cell_angle_gamma 90.00
loop_
_atom_site_label
_atom_site_fract_x
_atom_site_fract_y
_atom_site_fract_z
Pm1 0.0000 0.0000 0.0000
Cd1 0.0000 0.0000 0.5000
Si1 0.2500 0.2500 0.2500
Pt1 0.2500 0.2500 0.7500



Record 11
# GGA-PBE PmCdSi2Pt5, optimized geometry
# total magnetic moment: 0.0 μB/cell
# N(E_F): 3.332 states/eV/f.u.
# E_tot: -52.7 eV per cell
data_PmCdSi2Pt5
_space_group_name_H-M_alt 'P 4/m m m'
_space_group_IT_number 123
_space_group_name_Hall '-P 4 2'
_cell_length_a 4.0768
_cell_length_b 4.0768
_cell_length_c 10.9965
_cell_angle_alpha 90.00
_cell_angle_beta 90.00
_cell_angle_gamma 90.00
loop_
_atom_site_label
_atom_site_fract_x
_atom_site_fract_y
_atom_site_fract_z
Pm1 0.0000 0.0000 0.0000
Cd1 0.0000 0.0000 0.5000
Si1 0.5000 0.5000 0.2135
Pt1 0.0000 0.5000 0.3199
Pt2 0.5000 0.5000 0.0000



Record 12
# GGA-PBE Pm2Cd2SiPt4, optimized geometry
# total magnetic moment: 0.0 μB/cell
# N(E_F): 4.972 states/eV/f.u.
# E_tot: -94.3 eV per cell
data_Pm2Cd2SiPt4
_space_group_name_H-M_alt 'I 4/m m m'
_space_group_IT_number 139
_space_group_name_Hall '-I 4 2'
_cell_length_a 6.7533
_cell_length_b 6.7533
_cell_length_c 8.1646
_cell_angle_alpha 90.00
_cell_angle_beta 90.00
_cell_angle_gamma 90.00
loop_
_atom_site_label
_atom_site_fract_x
_atom_site_fract_y
_atom_site_fract_z
Pm1 0.0000 0.5000 0.2500
Cd1 0.0000 0.0000 0.1796
Si1 0.0000 0.0000 0.5000
Pt1 0.2460 0.2460 0.5000